A plane-wave DFT calculation with GGA-PBEsol was carried out for Co2Si2Rh after structural relaxation.

POSCAR file:
```
Co2Si2Rh
1.0
6.536 0.000 0.000
0.000 6.536 0.000
0.000 0.000 2.629
Co Si Rh
4 4 2
Direct
0.143 0.357 0.000
0.357 0.857 0.000
0.643 0.143 0.000
0.857 0.643 0.000
0.152 0.652 0.500
0.348 0.152 0.500
0.652 0.848 0.500
0.848 0.348 0.500
0.000 0.000 0.500
0.500 0.500 0.500
```

Values from the calculation:
total DFT energy (no corrections)	-0.560	Ry/atom
crystal system	tetragonal
theoretical density	8.19	g cm⁻³
space-group type	P4/mbm, No. 127
energy relative to the elements, uncorrected	-290	kJ/mol of formula units

***

A plane-wave DFT calculation with GGA-PBEsol was carried out for Sr2CoSiRh after structural relaxation.

POSCAR file:
```
Sr2CoSiRh
1.0
5.585 0.000 0.000
0.000 5.585 0.000
0.000 0.000 4.441
Sr Co Si Rh
2 1 1 1
Direct
0.000 0.500 0.000
0.500 0.000 0.000
0.000 0.000 0.500
0.500 0.500 0.500
0.000 0.000 0.000
```

Values from the calculation:
total DFT energy (no corrections)	-0.330	Ry/atom
crystal system	tetragonal
theoretical density	4.38	g cm⁻³
space-group type	P4/mmm, No. 123
energy relative to the elements, uncorrected	274	kJ/mol of formula units

***

A plane-wave DFT calculation with GGA-PBEsol was carried out for CoSn3Rh after structural relaxation.

POSCAR file:
```
CoSn3Rh
1.0
4.706 0.000 0.000
0.000 4.706 0.000
0.000 0.000 4.706
Co Sn Rh
1 3 1
Direct
0.000 0.000 0.000
0.000 0.000 0.500
0.000 0.500 0.000
0.500 0.000 0.000
0.500 0.500 0.500
```

Values from the calculation:
total DFT energy (no corrections)	-0.393	Ry/atom
crystal system	cubic
theoretical density	8.26	g cm⁻³
energy relative to the elements	384.2	meV/atom
space-group type	Pm-3m, No. 221